The following is a DFT calculation (GGA-PBE) of a relaxed structure of AcAsPb4.

Cell: 6.4536 6.4536 6.4536 Å, 60.00 60.00 60.00°
With the nearest neighbours (Å) after each atom.
Atoms (fractional coordinates):
Ac 0.0000 0.0000 0.0000  12 Pb 3.78, 4 As 3.95
As 0.2500 0.2500 0.2500  12 Pb 3.78, 4 Ac 3.95
Pb 0.1258 0.6247 0.6247  6 Pb 3.22-3.23
Pb 0.6247 0.1258 0.6247  6 Pb 3.22-3.23
Pb 0.6247 0.6247 0.1258  6 Pb 3.22-3.23
Pb 0.6247 0.6247 0.6247  6 Pb 3.22-3.23

Values from the calculation:
calculated formation energy = -0.014 eV per atom
magnetic moment = 0.00 μB/atom
mass density = 9879 kg/m3